AgSBrN2 after structural relaxation. Source: Alexandria via LeMat-Bulk, functional GGA-PBE. Values from VASP.

Calculated values
* M_tot: 0.661 μB per formula unit
* space-group type: P4/mmm (123)
* crystal system: tetragonal
* mass density: 4.22 g cm⁻³
* density of states at the Fermi level: 0.83 states/eV per atom
* formation energy (no corrections): 2.066 eV/atom

Structure (Quantum ESPRESSO input):
```
&SYSTEM
  ibrav = 0, nat = 5, ntyp = 4
/
ATOMIC_SPECIES
Ag 107.87 Ag.upf
S 32.06 S.upf
Br 79.90 Br.upf
N 14.01 N.upf
CELL_PARAMETERS angstrom
3.765 0.000 0.000
0.000 3.765 0.000
0.000 0.000 6.875
ATOMIC_POSITIONS crystal
Ag 0.000 0.000 0.000
S 0.500 0.500 0.000
Br 0.500 0.500 0.500
N 0.000 0.500 0.500
N 0.500 0.000 0.500
```

=====

AgSeBrN2 after structural relaxation. Source: Alexandria via LeMat-Bulk, functional GGA-PBE. Values from VASP.

Calculated values
* M_tot: 0.508 μB per formula unit
* space-group type: P4/mmm (123)
* crystal system: tetragonal
* mass density: 4.41 g cm⁻³
* density of states at the Fermi level: 0.85 states/eV per atom
* formation energy (no corrections): 1.996 eV/atom

Structure (Quantum ESPRESSO input):
```
&SYSTEM
  ibrav = 0, nat = 5, ntyp = 4
/
ATOMIC_SPECIES
Ag 107.87 Ag.upf
Se 78.96 Se.upf
Br 79.90 Br.upf
N 14.01 N.upf
CELL_PARAMETERS angstrom
3.821 0.000 0.000
0.000 3.821 0.000
0.000 0.000 7.606
ATOMIC_POSITIONS crystal
Ag 0.000 0.000 0.000
Se 0.500 0.500 0.000
Br 0.500 0.500 0.500
N 0.000 0.500 0.500
N 0.500 0.000 0.500
```

=====

AgSeBrN2 after structural relaxation. Source: Alexandria via LeMat-Bulk, functional GGA-PBE. Values from VASP.

Calculated values
* M_tot: 4.101 μB per formula unit
* space-group type: P4/mmm (123)
* crystal system: tetragonal
* mass density: 4.70 g cm⁻³
* density of states at the Fermi level: 0.39 states/eV per atom
* formation energy (no corrections): 1.765 eV/atom

Structure (Quantum ESPRESSO input):
```
&SYSTEM
  ibrav = 0, nat = 5, ntyp = 4
/
ATOMIC_SPECIES
Ag 107.87 Ag.upf
Se 78.96 Se.upf
Br 79.90 Br.upf
N 14.01 N.upf
CELL_PARAMETERS angstrom
4.116 0.000 0.000
0.000 4.116 0.000
0.000 0.000 6.146
ATOMIC_POSITIONS crystal
Ag 0.000 0.000 0.000
Se 0.000 0.000 0.500
Br 0.500 0.500 0.500
N 0.000 0.500 0.000
N 0.500 0.000 0.000
```